Entry 1:
## KCa2Ag (PBE)

Data for KCa2Ag after structural relaxation.

Results
The formation energy is -50 meV per atom. For the energy relative to the lowest polymorph listed for this composition, the calculation gives 34 meV/atom.

a = 4.365 Å, b = 4.365 Å, c = 31.511 Å
α = 90.00°, β = 90.00°, γ = 120.00°
Atoms (fractional coordinates):
K (0.000, 0.000, 0.000)
K (0.333, 0.667, 0.667)
K (0.667, 0.333, 0.333)
Ca (0.000, 0.000, 0.219)
Ca (0.000, 0.000, 0.781)
Ca (0.333, 0.667, 0.447)
Ca (0.333, 0.667, 0.886)
Ca (0.667, 0.333, 0.114)
Ca (0.667, 0.333, 0.553)
Ag (0.000, 0.000, 0.500)
Ag (0.333, 0.667, 0.167)
Ag (0.667, 0.333, 0.833)



Entry 2:
## LiZr2TcO (PBE)

Data for LiZr2TcO after structural relaxation.

Results
The uncorrected formation energy is -5.6 eV per formula unit.

a = 4.549 Å, b = 4.549 Å, c = 3.594 Å
α = 90.00°, β = 90.00°, γ = 90.00°
Atoms (fractional coordinates):
Li (0.000, 0.000, 0.000)
Zr (0.000, 0.500, 0.500)
Zr (0.500, 0.000, 0.500)
Tc (0.500, 0.500, 0.000)
O (0.000, 0.000, 0.500)